A relaxed MgTaSb2 crystal. Source: the Alexandria database, functional PBE.

Its space group is R-3m (166). As for the crystal system: trigonal. The energy relative to the elements, uncorrected is 0.0051 eV per atom. The calculation puts the volume at 92 Å³/cell. The magnetization comes out at 0.00 μB/cell.

Lattice parameters (Å, degrees): 8.659 8.659 8.659 23.74 23.74 23.74
Sites, in units of the cell vectors:
Mg: 0.000 0.000 0.000
Ta: 0.500 0.500 0.500
Sb: 0.245 0.245 0.245
Sb: 0.755 0.755 0.755


A relaxed MgTa2Sb4 crystal. Source: the Alexandria database, functional PBE.

Its space group is I4/mmm (139). As for the crystal system: tetragonal. The energy relative to the elements, uncorrected is 0.7332 eV per atom. The calculation puts the volume at 200 Å³/cell. The magnetization comes out at 0.00 μB/cell.

Lattice parameters (Å, degrees): 7.939 7.939 7.939 140.62 140.62 56.91
Sites, in units of the cell vectors:
Mg: 0.000 0.000 0.000
Ta: 0.408 0.408 0.000
Ta: 0.592 0.592 0.000
Sb: 0.000 0.500 0.500
Sb: 0.213 0.213 0.000
Sb: 0.500 0.000 0.500
Sb: 0.787 0.787 0.000